[1]
Here is Mg3Pd after structural relaxation from Alexandria. Energies are from GGA-PBEsol.

Output
Fermi-level density of states: 1.585 states/eV/f.u.
crystal system: hexagonal
calculated total energy: -0.234 Ry/atom
space-group type: P6_3cm (185)

abc: 7.987 7.987 8.267
angles: 90.00 90.00 120.00
Sites, in units of the cell vectors:
Mg: 0.667 0.333 0.385
Mg: 0.000 0.624 0.105
Mg: 0.333 0.667 0.385
Mg: 0.718 0.718 0.261
Mg: 0.718 0.000 0.761
Mg: 0.000 0.718 0.761
Mg: 0.376 0.000 0.605
Mg: 0.624 0.624 0.605
Mg: 0.624 0.000 0.105
Mg: 0.000 0.282 0.261
Mg: 0.000 0.376 0.605
Mg: 0.333 0.667 0.885
Mg: 0.282 0.000 0.261
Mg: 0.376 0.376 0.105
Mg: 0.000 0.000 0.003
Mg: 0.282 0.282 0.761
Mg: 0.667 0.333 0.885
Mg: 0.000 0.000 0.503
Pd: 0.327 0.000 0.933
Pd: 0.000 0.673 0.433
Pd: 0.673 0.673 0.933
Pd: 0.000 0.327 0.933
Pd: 0.327 0.327 0.433
Pd: 0.673 0.000 0.433



[2]
Here is TaSi2Os after structural relaxation from Alexandria. Energies are from GGA-PBEsol.

Output
Fermi-level density of states: 2.746 states/eV/f.u.
crystal system: monoclinic
calculated total energy: -0.669 Ry/atom
raw formation energy: -4.15 kJ per mole of atoms
space-group type: C2/m (12)

abc: 2.847 4.867 4.867
angles: 110.05 103.51 103.51
Sites, in units of the cell vectors:
Si: 0.000 0.500 0.000
Si: 0.000 0.000 0.500
Ta: 0.500 0.000 0.000
Os: 0.500 0.500 0.500



[3]
Here is KZnCu2Bi after structural relaxation from Alexandria. Energies are from GGA-PBEsol.

Output
Fermi-level density of states: 0.429 states/eV/f.u.
crystal system: tetragonal
calculated total energy: -0.183 Ry/atom
space-group type: P4/mmm (123)

abc: 4.960 4.960 6.657
angles: 90.00 90.00 90.00
Sites, in units of the cell vectors:
Cu: 0.500 0.000 0.000
Cu: 0.000 0.500 0.000
Zn: 0.500 0.500 0.500
K: 0.000 0.000 0.500
Bi: 0.000 0.000 0.000



[4]
Here is Li2MgRh after structural relaxation from Alexandria. Energies are from GGA-PBEsol.

Output
Fermi-level density of states: 1.063 states/eV/f.u.
crystal system: cubic
calculated total energy: -0.265 Ry/atom
space-group type: F-43m (216)

abc: 4.354 4.354 4.354
angles: 60.00 60.00 60.00
Sites, in units of the cell vectors:
Li: 0.750 0.750 0.750
Li: 0.000 0.000 0.000
Mg: 0.250 0.250 0.250
Rh: 0.500 0.500 0.500



[5]
Here is AlTcOF2 after structural relaxation from Alexandria. Energies are from GGA-PBEsol.

Output
Fermi-level density of states: 1.846 states/eV/f.u.
crystal system: tetragonal
calculated total energy: -0.460 Ry/atom
raw formation energy: -132.40 kJ per mole of atoms
space-group type: P4/mmm (123)

abc: 3.547 3.961 3.961
angles: 90.00 90.00 90.00
Sites, in units of the cell vectors:
O: 0.500 0.000 0.000
Al: 0.000 0.000 0.000
F: 0.000 0.500 0.000
F: 0.000 0.000 0.500
Tc: 0.500 0.500 0.500



[6]
Here is AlFePO5 after structural relaxation from Alexandria. Energies are from GGA-PBEsol.

Output
Fermi-level density of states: 3.448 states/eV/f.u.
crystal system: monoclinic
calculated total energy: -0.573 Ry/atom
raw formation energy: -209.00 kJ per mole of atoms
space-group type: P2_1/c (14)

abc: 5.471 7.151 10.392
angles: 90.00 90.00 98.66
Sites, in units of the cell vectors:
Fe: 0.898 0.483 0.859
Fe: 0.398 0.483 0.641
Fe: 0.602 0.517 0.359
Fe: 0.102 0.517 0.141
O: 0.694 0.615 0.549
O: 0.900 0.892 0.680
O: 0.306 0.385 0.451
O: 0.075 0.586 0.682
O: 0.109 0.787 0.482
O: 0.268 0.227 0.713
O: 0.100 0.108 0.320
O: 0.768 0.227 0.787
O: 0.925 0.414 0.318
O: 0.425 0.414 0.182
O: 0.575 0.586 0.818
O: 0.600 0.108 0.180
O: 0.194 0.615 0.951
O: 0.391 0.213 0.982
O: 0.232 0.773 0.213
O: 0.400 0.892 0.820
O: 0.732 0.773 0.287
O: 0.806 0.385 0.049
O: 0.609 0.787 0.018
O: 0.891 0.213 0.518
P: 0.944 0.721 0.599
P: 0.444 0.721 0.901
P: 0.556 0.279 0.099
P: 0.056 0.279 0.401
Al: 0.040 0.860 0.325
Al: 0.960 0.140 0.675
Al: 0.540 0.860 0.175
Al: 0.460 0.140 0.825